The following is a DFT calculation (GGA-PBE) of crystalline VCrMo14 at its relaxed geometry.

As for the calculated density: 9.68 g/cm3. The density of states at the Fermi level is 11.779 states/eV/cell. As for the energy relative to the elements: -26 kJ/mol of formula units.

It has space group P4/mmm (No. 123), with a = 6.2821 Å, b = 6.2821 Å, c = 6.2831 Å, α = 90.00°, β = 90.00° and γ = 90.00°. The distinct sites, in fractional coordinates, are V at (0.0000, 0.0000, 0.0000), Cr at (0.5000, 0.5000, 0.0000), Mo at (0.0000, 0.0000, 0.5000), Mo at (0.0000, 0.5000, 0.0000), Mo at (0.0000, 0.5000, 0.5000), Mo at (0.2506, 0.2506, 0.2466) and Mo at (0.5000, 0.5000, 0.5000).



The following is a DFT calculation (GGA-PBE) of crystalline Zn2Au at its relaxed geometry.

As for the calculated density: 10.26 g/cm3. The density of states at the Fermi level is 3.742 states/eV/cell. As for the energy relative to the elements: -17 kJ/mol of formula units.

It has space group I4/mcm (No. 140), with a = 6.2479 Å, b = 6.2479 Å, c = 5.4372 Å, α = 90.00°, β = 90.00° and γ = 90.00°. The distinct sites, in fractional coordinates, are Zn at (0.1475, 0.3525, 0.0000) and Au at (0.0000, 0.0000, 0.2500).



The following is a DFT calculation (GGA-PBE) of crystalline GdHoSnPt at its relaxed geometry.

As for the calculated density: 10.90 g/cm3. The density of states at the Fermi level is 8.529 states/eV/cell. As for the energy relative to the elements: -329 kJ/mol of formula units.

It has space group F-43m (No. 216), with a = 7.2919 Å, b = 7.2919 Å, c = 7.2919 Å, α = 90.00°, β = 90.00° and γ = 90.00°. The distinct sites, in fractional coordinates, are Gd at (0.0000, 0.0000, 0.0000), Ho at (0.0000, 0.0000, 0.5000), Sn at (0.2500, 0.2500, 0.2500) and Pt at (0.2500, 0.2500, 0.7500).



The following is a DFT calculation (GGA-PBE) of crystalline Ba2PN at its relaxed geometry.

As for the calculated density: 4.92 g/cm3. The density of states at the Fermi level is 6.892 states/eV/cell. Its uncorrected formation energy is -60 meV per atom. As for the polymorph energy (0 for the lowest one): 0.446 eV/f.u.

It has space group Fm-3m (No. 225), with a = 7.5543 Å, b = 7.5543 Å, c = 7.5543 Å, α = 90.00°, β = 90.00° and γ = 90.00°. The distinct sites, in fractional coordinates, are Ba at (0.2500, 0.2500, 0.2500), P at (0.0000, 0.0000, 0.0000) and N at (0.0000, 0.0000, 0.5000).



The following is a DFT calculation (GGA-PBE) of crystalline AlCd2Tc at its relaxed geometry.

As for the calculated density: 8.32 g/cm3. The density of states at the Fermi level is 11.197 states/eV/cell. As for the energy relative to the elements: 118 kJ/mol of formula units.

It has space group F-43m (No. 216), with a = 6.5374 Å, b = 6.5374 Å, c = 6.5374 Å, α = 90.00°, β = 90.00° and γ = 90.00°. The distinct sites, in fractional coordinates, are Al at (0.0000, 0.0000, 0.0000), Cd at (0.0000, 0.0000, 0.5000), Cd at (0.2500, 0.2500, 0.7500) and Tc at (0.2500, 0.2500, 0.2500).



The following is a DFT calculation (GGA-PBE) of crystalline TiMn2SiH at its relaxed geometry.

As for the calculated density: 5.88 g/cm3. The density of states at the Fermi level is 1.939 states/eV/cell. For the final energy, the calculation gives -36.801 eV for the cell shown.

It has space group P4/mmm (No. 123), with a = 3.7644 Å, b = 3.7644 Å, c = 3.7250 Å, α = 90.00°, β = 90.00° and γ = 90.00°. The distinct sites, in fractional coordinates, are Ti at (0.0000, 0.0000, 0.0000), Mn at (0.0000, 0.5000, 0.5000), Si at (0.5000, 0.5000, 0.0000) and H at (0.0000, 0.0000, 0.5000).



The following is a DFT calculation (GGA-PBE) of crystalline Y2In8Au at its relaxed geometry.

As for the calculated density: 7.79 g/cm3. The density of states at the Fermi level is 4.613 states/eV/cell. As for the energy relative to the elements: -351 kJ/mol of formula units.

It has space group P4/mmm (No. 123), with a = 4.7467 Å, b = 4.7467 Å, c = 12.2353 Å, α = 90.00°, β = 90.00° and γ = 90.00°. The distinct sites, in fractional coordinates, are Y at (0.0000, 0.0000, 0.1876), In at (0.0000, 0.5000, 0.0000), In at (0.0000, 0.5000, 0.3676), In at (0.5000, 0.5000, 0.1876) and Au at (0.0000, 0.0000, 0.5000).



The following is a DFT calculation (GGA-PBE) of crystalline La2HoAl9 at its relaxed geometry.

As for the calculated density: 4.58 g/cm3. The density of states at the Fermi level is 17.024 states/eV/cell. As for the energy relative to the elements: -398 kJ/mol of formula units.

It has space group R-3m (No. 166, hexagonal axes), with a = 5.6753 Å, b = 5.6753 Å, c = 26.7591 Å, α = 90.00°, β = 90.00° and γ = 120.00°. The distinct sites, in fractional coordinates, are La at (0.0000, 0.0000, 0.1419), Ho at (0.0000, 0.0000, 0.0000), Al at (0.0000, 0.0000, 0.3349), Al at (0.0000, 0.0000, 0.5000) and Al at (0.0064, 0.5032, 0.9190).



The following is a DFT calculation (GGA-PBE) of crystalline La2MgZn2 at its relaxed geometry.

As for the calculated density: 5.23 g/cm3. The density of states at the Fermi level is 15.741 states/eV/cell. As for the energy relative to the elements: -3 kJ/mol of formula units.

It has space group I4/mmm (No. 139), with a = 3.6570 Å, b = 3.6570 Å, c = 20.5545 Å, α = 90.00°, β = 90.00° and γ = 90.00°. The distinct sites, in fractional coordinates, are La at (0.0000, 0.0000, 0.1154), Mg at (0.0000, 0.0000, 0.5000) and Zn at (0.0000, 0.5000, 0.2500).